[1]
NbCrN2 (PBE, optimized geometry); symmetry = P4/nmm; Fermi-level density of states = 2.95 states/eV per cell; raw total energy = -9.442 eV per atom; ΔE_f (raw) = -356.5 meV per atom
1.0
-0.765 -2.972 -0.906
2.762 -0.223 -1.600
3.718 -3.044 6.844
Nb Cr N
2 2 4
Direct
0.000 0.500 0.618 Nb
0.500 0.000 0.382 Nb
0.000 0.500 0.124 Cr
0.500 0.000 0.876 Cr
0.000 0.500 0.355 N
0.500 0.000 0.645 N
0.500 0.500 0.000 N
0.000 0.000 0.000 N



[2]
La7P12Pd17 (PBE, optimized geometry); symmetry = C2/m; ΔE_f = -1.01 eV per atom; Fermi-level density of states = 18.77 states/eV per cell; raw total energy = -6.223 eV per atom
1.0
-4.515 3.766 -11.051
-4.961 -0.310 -11.489
-13.675 1.469 0.257
La P Pd
7 12 17
Direct
0.500 0.500 0.500 La
0.365 0.365 0.999 La
0.635 0.635 0.001 La
0.234 0.234 0.314 La
0.766 0.766 0.686 La
0.417 0.417 0.262 La
0.583 0.583 0.738 La
0.060 0.060 0.927 P
0.940 0.940 0.073 P
0.887 0.887 0.826 P
0.113 0.113 0.174 P
0.188 0.188 0.619 P
0.812 0.812 0.381 P
0.365 0.365 0.578 P
0.635 0.635 0.422 P
0.010 0.010 0.673 P
0.990 0.990 0.327 P
0.234 0.234 0.882 P
0.766 0.766 0.118 P
0.839 0.839 0.192 Pd
0.161 0.161 0.808 Pd
0.026 0.026 0.125 Pd
0.974 0.974 0.875 Pd
0.891 0.891 0.457 Pd
0.109 0.109 0.543 Pd
0.500 0.500 0.000 Pd
0.548 0.548 0.255 Pd
0.452 0.452 0.745 Pd
0.297 0.297 0.487 Pd
0.703 0.703 0.513 Pd
0.666 0.666 0.224 Pd
0.334 0.334 0.776 Pd
0.906 0.906 0.644 Pd
0.094 0.094 0.356 Pd
0.218 0.218 0.071 Pd
0.782 0.782 0.929 Pd



[3]
ZrTcCl2 (PBE, optimized geometry); symmetry = Imm2; Fermi-level density of states = 1.28 states/eV per cell; raw total energy = -5.956 eV per atom; ΔE_f (raw) = -304.4 meV per atom
1.0
6.839 0.027 -0.007
4.781 4.890 0.007
-5.537 -3.103 2.546
Tc Zr Cl
1 1 2
Direct
0.478 0.478 0.000 Tc
0.326 0.826 0.500 Zr
0.974 0.974 0.000 Cl
0.722 0.222 0.500 Cl



One value per record, in order, for spin magnetization: 0.96 0.00 0.00 μB per formula unit.